Computed, not measured: a relaxed Sn5Sb2S9 crystal at the PBE-GGA level of DFT.

Unit cell a=11.533 b=11.616 c=11.641 alpha=90.00 beta=90.00 gamma=90.00
Space group Pbca (No. 61)
Unique sites:
Sn 0.000 0.000 0.000 [4 per cell]
Sn 0.063 0.153 0.305 [8 per cell]
Sn 0.147 0.692 0.936 [8 per cell]
Sb 0.203 0.050 0.639 [8 per cell]
S 0.000 0.000 0.500 [4 per cell]
S 0.054 0.206 0.054 [8 per cell]
S 0.071 0.556 0.707 [8 per cell]
S 0.174 0.663 0.172 [8 per cell]
S 0.213 0.554 0.444 [8 per cell]

crystal system = orthorhombic
M_tot = 0.000 μB per atom
calculated total energy = -4.422 eV per atom
energy relative to the elements, uncorrected = -0.33 eV per atom



Computed, not measured: a relaxed SnSb2S crystal at the PBE-GGA level of DFT.

Unit cell a=5.872 b=5.872 c=15.597 alpha=90.00 beta=90.00 gamma=90.00
Space group I-42d (No. 122)
Unique sites:
Sn 0.000 0.000 0.000 [4 per cell]
Sb 0.194 0.250 0.625 [8 per cell]
S 0.000 0.000 0.500 [4 per cell]

crystal system = tetragonal
M_tot = 0.000 μB per atom
calculated total energy = -3.899 eV per atom
energy relative to the elements, uncorrected = 0.20 eV per atom



Computed, not measured: a relaxed SnSbS2 crystal at the PBE-GGA level of DFT.

Unit cell a=7.010 b=7.010 c=7.010 alpha=90.00 beta=90.00 gamma=90.00
Space group Fm-3m (No. 225)
Unique sites:
Sn 0.000 0.000 0.000 [4 per cell]
Sb 0.000 0.000 0.500 [4 per cell]
S 0.250 0.250 0.250 [8 per cell]

crystal system = cubic
M_tot = 0.000 μB per atom
calculated total energy = -4.078 eV per atom
energy relative to the elements, uncorrected = 0.02 eV per atom



Computed, not measured: a relaxed Sn12Sb3S5 crystal at the PBE-GGA level of DFT.

Unit cell a=17.240 b=17.240 c=17.240 alpha=90.00 beta=90.00 gamma=90.00
Space group Ia-3d (No. 230)
Unique sites:
Sn 0.017 0.072 0.654 [96 per cell]
Sb 0.000 0.250 0.125 [24 per cell]
S 0.000 0.000 0.000 [16 per cell]
S 0.000 0.250 0.375 [24 per cell]

crystal system = cubic
M_tot = 0.000 μB per atom
calculated total energy = -3.969 eV per atom
energy relative to the elements, uncorrected = 0.08 eV per atom



Computed, not measured: a relaxed Sn3SbS8 crystal at the PBE-GGA level of DFT.

Unit cell a=12.869 b=7.427 c=8.033 alpha=90.00 beta=122.80 gamma=90.00
Space group C2/m (No. 12)
Unique sites:
Sn 0.000 0.000 0.000 [2 per cell]
Sn 0.250 0.250 0.000 [4 per cell]
Sb 0.000 0.500 0.000 [2 per cell]
S 0.010 0.244 0.778 [8 per cell]
S 0.240 0.000 0.218 [4 per cell]
S 0.246 0.500 0.222 [4 per cell]

crystal system = monoclinic
M_tot = 0.000 μB per atom
calculated total energy = -4.402 eV per atom
energy relative to the elements, uncorrected = -0.31 eV per atom



Computed, not measured: a relaxed SnSb2TeS crystal at the PBE-GGA level of DFT.

Unit cell a=5.269 b=5.269 c=5.288 alpha=90.00 beta=90.00 gamma=90.00
Space group P4/mmm (No. 123)
Unique sites:
Sn 0.000 0.000 0.000 [1 per cell]
Sb 0.000 0.500 0.500 [2 per cell]
Te 0.500 0.500 0.000 [1 per cell]
S 0.500 0.500 0.500 [1 per cell]

crystal system = tetragonal
M_tot = 0.000 μB per atom
calculated total energy = -3.505 eV per atom
energy relative to the elements, uncorrected = 0.40 eV per atom



Computed, not measured: a relaxed SnSbTe2S crystal at the PBE-GGA level of DFT.

Unit cell a=5.278 b=5.278 c=5.302 alpha=90.00 beta=90.00 gamma=90.00
Space group P4/mmm (No. 123)
Unique sites:
Sn 0.000 0.000 0.000 [1 per cell]
Sb 0.500 0.500 0.000 [1 per cell]
Te 0.000 0.500 0.500 [2 per cell]
S 0.500 0.500 0.500 [1 per cell]

crystal system = tetragonal
M_tot = 0.000 μB per atom
calculated total energy = -3.367 eV per atom
energy relative to the elements, uncorrected = 0.34 eV per atom



Computed, not measured: a relaxed Sn6SbTe3S2 crystal at the PBE-GGA level of DFT.

Unit cell a=7.535 b=13.179 c=7.541 alpha=90.00 beta=109.59 gamma=90.00
Space group C2/m (No. 12)
Unique sites:
Sn 0.236 0.000 0.233 [4 per cell]
Sn 0.247 0.328 0.227 [8 per cell]
Sb 0.000 0.500 0.000 [2 per cell]
Te 0.000 0.000 0.500 [2 per cell]
Te 0.000 0.341 0.500 [4 per cell]
S 0.000 0.173 0.000 [4 per cell]

crystal system = monoclinic
M_tot = 0.000 μB per atom
calculated total energy = -4.052 eV per atom
energy relative to the elements, uncorrected = -0.23 eV per atom



Computed, not measured: a relaxed SnSbTe2S crystal at the PBE-GGA level of DFT.

Unit cell a=5.626 b=5.626 c=5.792 alpha=90.00 beta=90.00 gamma=90.00
Space group P4/mmm (No. 123)
Unique sites:
Sn 0.000 0.000 0.000 [1 per cell]
Sb 0.000 0.000 0.500 [1 per cell]
Te 0.000 0.500 0.000 [2 per cell]
S 0.500 0.500 0.500 [1 per cell]

crystal system = tetragonal
M_tot = 0.214 μB per atom
calculated total energy = -2.769 eV per atom
energy relative to the elements, uncorrected = 0.94 eV per atom



Computed, not measured: a relaxed SnSb2TeS crystal at the PBE-GGA level of DFT.

Unit cell a=5.687 b=5.687 c=5.523 alpha=90.00 beta=90.00 gamma=90.00
Space group P4/mmm (No. 123)
Unique sites:
Sn 0.000 0.000 0.000 [1 per cell]
Sb 0.000 0.500 0.000 [2 per cell]
Te 0.000 0.000 0.500 [1 per cell]
S 0.500 0.500 0.500 [1 per cell]

crystal system = tetragonal
M_tot = 0.000 μB per atom
calculated total energy = -2.893 eV per atom
energy relative to the elements, uncorrected = 1.01 eV per atom



Computed, not measured: a relaxed Tl3Sn2SbS6 crystal at the PBE-GGA level of DFT.

Unit cell a=6.933 b=12.010 c=7.777 alpha=90.00 beta=107.25 gamma=90.00
Space group C2/m (No. 12)
Unique sites:
Tl 0.000 0.000 0.000 [2 per cell]
Tl 0.000 0.335 0.000 [4 per cell]
Sn 0.000 0.167 0.500 [4 per cell]
Sb 0.000 0.500 0.500 [2 per cell]
S 0.232 0.000 0.705 [4 per cell]
S 0.237 0.332 0.708 [8 per cell]

crystal system = monoclinic
M_tot = 0.000 μB per atom
calculated total energy = -4.003 eV per atom
energy relative to the elements, uncorrected = -0.34 eV per atom



Computed, not measured: a relaxed Tl3SnSb2S6 crystal at the PBE-GGA level of DFT.

Unit cell a=6.992 b=12.105 c=7.759 alpha=90.00 beta=107.40 gamma=90.00
Space group C2/m (No. 12)
Unique sites:
Tl 0.000 0.000 0.000 [2 per cell]
Tl 0.000 0.331 0.000 [4 per cell]
Sn 0.000 0.500 0.500 [2 per cell]
Sb 0.000 0.167 0.500 [4 per cell]
S 0.233 0.334 0.705 [8 per cell]
S 0.238 0.000 0.707 [4 per cell]

crystal system = monoclinic
M_tot = 0.000 μB per atom
calculated total energy = -4.000 eV per atom
energy relative to the elements, uncorrected = -0.32 eV per atom